No. 1
Entry from Alexandria: an optimized crystal structure of TbSmHo2Er2 (PBE).

a b c (Å): 6.058 18.068 3.502
angles (deg): 90.00 90.00 90.00
Positions (direct):
Tb1 0.000 0.000 0.000
Tb2 0.500 0.500 0.500
Sm1 0.000 0.500 0.000
Sm2 0.500 0.000 0.500
Ho1 0.167 0.343 0.500
Ho2 0.333 0.843 0.000
Ho3 0.667 0.157 0.000
Ho4 0.833 0.657 0.500
Er1 0.167 0.158 0.500
Er2 0.333 0.658 0.000
Er3 0.667 0.342 0.000
Er4 0.833 0.842 0.500

density of states at the Fermi level	18.760	states/eV/cell
crystal system	orthorhombic
ΔE_f	0.111	eV per atom
final energy	-53.9	eV per cell
theoretical density	8.4	g/cm3

No. 2
Entry from Alexandria: an optimized crystal structure of Tb2Sm6Ho3Er (PBE).

a b c (Å): 6.207 6.207 11.815
angles (deg): 95.01 95.01 119.98
Positions (direct):
Tb1 0.167 0.833 0.000
Tb2 0.833 0.167 0.000
Sm1 0.083 0.416 0.750
Sm2 0.251 0.251 0.251
Sm3 0.416 0.083 0.750
Sm4 0.584 0.917 0.250
Sm5 0.749 0.749 0.749
Sm6 0.917 0.584 0.250
Ho1 0.000 0.000 0.500
Ho2 0.333 0.667 0.500
Ho3 0.667 0.333 0.500
Er1 0.500 0.500 0.000

density of states at the Fermi level	14.323	states/eV/cell
crystal system	monoclinic
ΔE_f	0.014	eV per atom
final energy	-55.7	eV per cell
theoretical density	8.0	g/cm3

No. 3
Entry from Alexandria: an optimized crystal structure of TbSmHoEr (PBE).

a b c (Å): 5.667 5.667 5.667
angles (deg): 60.00 60.00 60.00
Positions (direct):
Tb1 0.000 0.000 0.000
Sm1 0.500 0.500 0.500
Ho1 0.250 0.250 0.250
Er1 0.750 0.750 0.750

density of states at the Fermi level	8.557	states/eV/cell
crystal system	cubic
E above lowest polymorph	113	meV per atom
ΔE_f	0.132	eV per atom
final energy	-18.0	eV per cell
theoretical density	8.3	g/cm3

No. 4
Entry from Alexandria: an optimized crystal structure of TbSmHo2Er5 (PBE).

a b c (Å): 10.218 10.218 10.519
angles (deg): 90.00 90.00 148.41
Positions (direct):
Tb1 0.200 0.800 0.500
Tb2 0.800 0.200 0.000
Sm1 0.416 0.584 0.942
Sm2 0.584 0.416 0.442
Ho1 0.110 0.890 0.224
Ho2 0.113 0.887 0.808
Ho3 0.887 0.113 0.308
Ho4 0.890 0.110 0.724
Er1 0.018 0.982 0.514
Er2 0.282 0.718 0.798
Er3 0.299 0.701 0.198
Er4 0.390 0.610 0.511
Er5 0.479 0.521 0.225
Er6 0.521 0.479 0.725
Er7 0.610 0.390 0.011
Er8 0.701 0.299 0.698
Er9 0.718 0.282 0.298
Er10 0.982 0.018 0.014

density of states at the Fermi level	28.140	states/eV/cell
crystal system	orthorhombic
ΔE_f	0.160	eV per atom
final energy	-79.8	eV per cell
theoretical density	8.5	g/cm3

No. 5
Entry from Alexandria: an optimized crystal structure of TbSm2HoEr (PBE).

a b c (Å): 7.109 7.109 7.231
angles (deg): 90.00 90.00 107.60
Positions (direct):
Tb1 0.226 0.774 0.750
Tb2 0.774 0.226 0.250
Sm1 0.193 0.193 0.000
Sm2 0.193 0.193 0.500
Sm3 0.807 0.807 0.000
Sm4 0.807 0.807 0.500
Ho1 0.228 0.772 0.250
Ho2 0.772 0.228 0.750
Er1 0.497 0.503 0.750
Er2 0.503 0.497 0.250

density of states at the Fermi level	15.118	states/eV/cell
crystal system	orthorhombic
ΔE_f	0.414	eV per atom
final energy	-42.3	eV per cell
theoretical density	7.5	g/cm3

No. 6
Entry from Alexandria: an optimized crystal structure of Tb6Sm3Ho2Er (PBE).

a b c (Å): 6.175 6.175 11.817
angles (deg): 94.98 94.98 119.97
Positions (direct):
Tb1 0.084 0.417 0.753
Tb2 0.249 0.249 0.247
Tb3 0.417 0.084 0.753
Tb4 0.583 0.916 0.247
Tb5 0.751 0.751 0.753
Tb6 0.916 0.583 0.247
Sm1 0.000 0.000 0.500
Sm2 0.333 0.667 0.500
Sm3 0.667 0.333 0.500
Ho1 0.167 0.833 0.000
Ho2 0.833 0.167 0.000
Er1 0.500 0.500 0.000

density of states at the Fermi level	15.493	states/eV/cell
crystal system	monoclinic
ΔE_f	0.016	eV per atom
final energy	-55.5	eV per cell
theoretical density	8.2	g/cm3

No. 7
Entry from Alexandria: an optimized crystal structure of Tb2Sm2Ho4Er (PBE).

a b c (Å): 9.474 9.474 9.525
angles (deg): 115.22 115.22 21.80
Positions (direct):
Tb1 0.147 0.147 0.164
Tb2 0.853 0.853 0.836
Sm1 0.334 0.334 0.500
Sm2 0.666 0.666 0.500
Ho1 0.185 0.185 0.835
Ho2 0.481 0.481 0.166
Ho3 0.519 0.519 0.834
Ho4 0.815 0.815 0.165
Er1 0.000 0.000 0.500

density of states at the Fermi level	11.958	states/eV/cell
crystal system	monoclinic
ΔE_f	-0.001	eV per atom
final energy	-41.6	eV per cell
theoretical density	8.4	g/cm3

No. 8
Entry from Alexandria: an optimized crystal structure of TbSmHo2Er6 (PBE).

a b c (Å): 8.715 8.715 9.471
angles (deg): 93.75 93.75 117.79
Positions (direct):
Tb1 0.091 0.909 0.750
Tb2 0.909 0.091 0.250
Sm1 0.475 0.525 0.250
Sm2 0.525 0.475 0.750
Ho1 0.198 0.304 0.954
Ho2 0.304 0.198 0.454
Ho3 0.696 0.802 0.546
Ho4 0.802 0.696 0.046
Er1 0.007 0.791 0.381
Er2 0.069 0.521 0.183
Er3 0.209 0.993 0.119
Er4 0.250 0.624 0.557
Er5 0.376 0.750 0.943
Er6 0.479 0.931 0.317
Er7 0.521 0.069 0.683
Er8 0.624 0.250 0.057
Er9 0.750 0.376 0.443
Er10 0.791 0.007 0.881
Er11 0.931 0.479 0.817
Er12 0.993 0.209 0.619

density of states at the Fermi level	29.181	states/eV/cell
crystal system	monoclinic
ΔE_f	0.123	eV per atom
final energy	-89.3	eV per cell
theoretical density	8.6	g/cm3

No. 9
Entry from Alexandria: an optimized crystal structure of Tb6Sm2HoEr3 (PBE).

a b c (Å): 6.154 6.154 11.778
angles (deg): 94.97 94.97 119.96
Positions (direct):
Tb1 0.085 0.418 0.753
Tb2 0.248 0.248 0.247
Tb3 0.418 0.085 0.753
Tb4 0.582 0.915 0.247
Tb5 0.752 0.752 0.753
Tb6 0.915 0.582 0.247
Sm1 0.333 0.667 0.500
Sm2 0.667 0.333 0.500
Ho1 0.000 0.000 0.500
Er1 0.166 0.834 0.000
Er2 0.500 0.500 0.000
Er3 0.834 0.166 0.000

density of states at the Fermi level	15.401	states/eV/cell
crystal system	monoclinic
ΔE_f	0.016	eV per atom
final energy	-55.3	eV per cell
theoretical density	8.4	g/cm3

No. 10
Entry from Alexandria: an optimized crystal structure of Tb3Sm6Ho2Er (PBE).

a b c (Å): 6.213 6.213 11.828
angles (deg): 95.00 95.00 119.98
Positions (direct):
Tb1 0.000 0.000 0.000
Tb2 0.333 0.667 0.000
Tb3 0.667 0.333 0.000
Sm1 0.084 0.417 0.251
Sm2 0.250 0.250 0.749
Sm3 0.417 0.084 0.251
Sm4 0.583 0.916 0.749
Sm5 0.750 0.750 0.251
Sm6 0.916 0.583 0.749
Ho1 0.167 0.833 0.500
Ho2 0.833 0.167 0.500
Er1 0.500 0.500 0.500

density of states at the Fermi level	14.533	states/eV/cell
crystal system	monoclinic
ΔE_f	0.014	eV per atom
final energy	-55.8	eV per cell
theoretical density	8.0	g/cm3

No. 11
Entry from Alexandria: an optimized crystal structure of Tb5SmHoEr2 (PBE).

a b c (Å): 10.305 10.305 10.542
angles (deg): 90.00 90.00 148.48
Positions (direct):
Tb1 0.018 0.982 0.500
Tb2 0.281 0.719 0.788
Tb3 0.299 0.701 0.185
Tb4 0.388 0.612 0.500
Tb5 0.479 0.521 0.215
Tb6 0.521 0.479 0.715
Tb7 0.612 0.388 0.000
Tb8 0.701 0.299 0.685
Tb9 0.719 0.281 0.288
Tb10 0.982 0.018 0.000
Sm1 0.415 0.585 0.930
Sm2 0.585 0.415 0.430
Ho1 0.199 0.801 0.488
Ho2 0.801 0.199 0.988
Er1 0.111 0.889 0.213
Er2 0.114 0.886 0.795
Er3 0.886 0.114 0.295
Er4 0.889 0.111 0.713

density of states at the Fermi level	29.204	states/eV/cell
crystal system	orthorhombic
ΔE_f	0.157	eV per atom
final energy	-80.3	eV per cell
theoretical density	8.2	g/cm3

No. 12
Entry from Alexandria: an optimized crystal structure of Tb6Sm3HoEr2 (PBE).

a b c (Å): 6.173 6.173 11.813
angles (deg): 94.98 94.98 119.97
Positions (direct):
Tb1 0.084 0.417 0.753
Tb2 0.249 0.249 0.247
Tb3 0.417 0.084 0.753
Tb4 0.583 0.916 0.247
Tb5 0.751 0.751 0.753
Tb6 0.916 0.583 0.247
Sm1 0.000 0.000 0.500
Sm2 0.333 0.667 0.500
Sm3 0.667 0.333 0.500
Ho1 0.500 0.500 0.000
Er1 0.167 0.833 0.000
Er2 0.833 0.167 0.000

density of states at the Fermi level	15.538	states/eV/cell
crystal system	monoclinic
ΔE_f	0.016	eV per atom
final energy	-55.4	eV per cell
theoretical density	8.2	g/cm3

No. 13
Entry from Alexandria: an optimized crystal structure of TbSm5Ho2Er (PBE).

a b c (Å): 10.472 10.472 10.637
angles (deg): 90.00 90.00 148.89
Positions (direct):
Tb1 0.199 0.801 0.500
Tb2 0.801 0.199 0.000
Sm1 0.017 0.983 0.510
Sm2 0.280 0.720 0.800
Sm3 0.299 0.701 0.196
Sm4 0.388 0.612 0.512
Sm5 0.481 0.519 0.231
Sm6 0.519 0.481 0.731
Sm7 0.612 0.388 0.012
Sm8 0.701 0.299 0.696
Sm9 0.720 0.280 0.300
Sm10 0.983 0.017 0.010
Ho1 0.111 0.889 0.227
Ho2 0.115 0.885 0.803
Ho3 0.885 0.115 0.303
Ho4 0.889 0.111 0.727
Er1 0.410 0.590 0.949
Er2 0.590 0.410 0.449

density of states at the Fermi level	29.065	states/eV/cell
crystal system	orthorhombic
ΔE_f	0.148	eV per atom
final energy	-81.2	eV per cell
theoretical density	7.8	g/cm3

No. 14
Entry from Alexandria: an optimized crystal structure of Tb3Sm2Ho6Er (PBE).

a b c (Å): 6.144 6.144 11.748
angles (deg): 94.98 94.98 119.95
Positions (direct):
Tb1 0.000 0.000 0.000
Tb2 0.333 0.667 0.000
Tb3 0.667 0.333 0.000
Sm1 0.167 0.833 0.500
Sm2 0.833 0.167 0.500
Ho1 0.083 0.416 0.249
Ho2 0.251 0.251 0.751
Ho3 0.416 0.083 0.249
Ho4 0.584 0.917 0.751
Ho5 0.749 0.749 0.249
Ho6 0.917 0.584 0.751
Er1 0.500 0.500 0.500

density of states at the Fermi level	15.208	states/eV/cell
crystal system	monoclinic
ΔE_f	0.016	eV per atom
final energy	-55.2	eV per cell
theoretical density	8.5	g/cm3

No. 15
Entry from Alexandria: an optimized crystal structure of Tb2Sm3Ho6Er (PBE).

a b c (Å): 6.156 6.156 11.757
angles (deg): 94.99 94.99 119.97
Positions (direct):
Tb1 0.167 0.833 0.000
Tb2 0.833 0.167 0.000
Sm1 0.000 0.000 0.500
Sm2 0.333 0.667 0.500
Sm3 0.667 0.333 0.500
Ho1 0.084 0.417 0.752
Ho2 0.250 0.250 0.248
Ho3 0.417 0.084 0.752
Ho4 0.583 0.916 0.248
Ho5 0.750 0.750 0.752
Ho6 0.916 0.583 0.248
Er1 0.500 0.500 0.000

density of states at the Fermi level	15.390	states/eV/cell
crystal system	monoclinic
ΔE_f	0.017	eV per atom
final energy	-55.2	eV per cell
theoretical density	8.4	g/cm3

No. 16
Entry from Alexandria: an optimized crystal structure of Tb3SmHo2Er6 (PBE).

a b c (Å): 6.115 6.115 11.687
angles (deg): 94.98 94.98 119.95
Positions (direct):
Tb1 0.000 0.000 0.000
Tb2 0.333 0.667 0.000
Tb3 0.667 0.333 0.000
Sm1 0.500 0.500 0.500
Ho1 0.167 0.833 0.500
Ho2 0.833 0.167 0.500
Er1 0.082 0.416 0.250
Er2 0.250 0.250 0.750
Er3 0.416 0.082 0.250
Er4 0.584 0.918 0.750
Er5 0.750 0.750 0.250
Er6 0.918 0.584 0.750

density of states at the Fermi level	15.705	states/eV/cell
crystal system	monoclinic
ΔE_f	0.019	eV per atom
final energy	-54.9	eV per cell
theoretical density	8.7	g/cm3

No. 17
Entry from Alexandria: an optimized crystal structure of TbSm2HoEr5 (PBE).

a b c (Å): 9.813 9.813 9.813
angles (deg): 127.97 127.97 76.67
Positions (direct):
Tb1 0.250 0.250 0.000
Tb2 0.750 0.750 0.000
Sm1 0.117 0.617 0.733
Sm2 0.383 0.117 0.500
Sm3 0.617 0.883 0.500
Sm4 0.883 0.383 0.267
Ho1 0.250 0.750 0.500
Ho2 0.750 0.250 0.500
Er1 0.000 0.000 0.000
Er2 0.072 0.151 0.500
Er3 0.151 0.651 0.079
Er4 0.349 0.428 0.500
Er5 0.428 0.928 0.079
Er6 0.500 0.500 0.000
Er7 0.572 0.072 0.921
Er8 0.651 0.572 0.500
Er9 0.849 0.349 0.921
Er10 0.928 0.849 0.500

density of states at the Fermi level	21.786	states/eV/cell
crystal system	tetragonal
ΔE_f	0.280	eV per atom
final energy	-77.9	eV per cell
theoretical density	8.5	g/cm3

No. 18
Entry from Alexandria: an optimized crystal structure of Tb6SmHoEr2 (PBE).

a b c (Å): 8.772 8.772 9.519
angles (deg): 93.68 93.68 117.65
Positions (direct):
Tb1 0.016 0.565 0.183
Tb2 0.121 0.753 0.556
Tb3 0.247 0.879 0.944
Tb4 0.292 0.509 0.381
Tb5 0.435 0.984 0.317
Tb6 0.491 0.708 0.119
Tb7 0.509 0.292 0.881
Tb8 0.565 0.016 0.683
Tb9 0.708 0.491 0.619
Tb10 0.753 0.121 0.056
Tb11 0.879 0.247 0.444
Tb12 0.984 0.435 0.817
Sm1 0.026 0.974 0.250
Sm2 0.974 0.026 0.750
Ho1 0.409 0.591 0.750
Ho2 0.591 0.409 0.250
Er1 0.200 0.303 0.046
Er2 0.303 0.200 0.546
Er3 0.697 0.800 0.454
Er4 0.800 0.697 0.954

density of states at the Fermi level	28.657	states/eV/cell
crystal system	monoclinic
ΔE_f	0.120	eV per atom
final energy	-90.0	eV per cell
theoretical density	8.3	g/cm3

No. 19
Entry from Alexandria: an optimized crystal structure of Tb4SmHo2Er2 (PBE).

a b c (Å): 9.461 9.461 9.511
angles (deg): 115.21 115.21 21.80
Positions (direct):
Tb1 0.019 0.019 0.335
Tb2 0.314 0.314 0.666
Tb3 0.686 0.686 0.334
Tb4 0.981 0.981 0.665
Sm1 0.500 0.500 0.000
Ho1 0.352 0.352 0.332
Ho2 0.648 0.648 0.668
Er1 0.168 0.168 0.000
Er2 0.832 0.832 0.000

density of states at the Fermi level	11.900	states/eV/cell
crystal system	monoclinic
ΔE_f	0.002	eV per atom
final energy	-41.5	eV per cell
theoretical density	8.5	g/cm3

No. 20
Entry from Alexandria: an optimized crystal structure of Tb2Sm2HoEr2 (PBE).

a b c (Å): 5.563 5.563 9.093
angles (deg): 113.04 113.04 64.12
Positions (direct):
Tb1 0.213 0.213 0.142
Tb2 0.787 0.787 0.858
Sm1 0.360 0.360 0.579
Sm2 0.640 0.640 0.421
Ho1 0.500 0.500 0.000
Er1 0.069 0.069 0.714
Er2 0.931 0.931 0.286

density of states at the Fermi level	14.759	states/eV/cell
crystal system	monoclinic
ΔE_f	0.124	eV per atom
final energy	-31.5	eV per cell
theoretical density	8.3	g/cm3